# Cs3Tl4As2, optimized geometry, DFT PBE
data_Cs3Tl4As2
_chemical_formula_sum 'Cs6 Tl8 As4'
_symmetry_space_group_name_H-M 'C 1 2/m 1'
_symmetry_Int_Tables_number 12
_cell_length_a 16.6911
_cell_length_b 4.6730
_cell_length_c 9.9960
_cell_angle_alpha 90.00
_cell_angle_beta 108.53
_cell_angle_gamma 90.00
loop_
_symmetry_equiv_pos_as_xyz
'x,y,z'
'-x,-y,-z'
'-x,y,-z'
'x,-y,z'
'x+1/2,y+1/2,z'
'-x+1/2,-y+1/2,-z'
'-x+1/2,y+1/2,-z'
'x+1/2,-y+1/2,z'
loop_
_atom_site_label
_atom_site_type_symbol
_atom_site_fract_x
_atom_site_fract_y
_atom_site_fract_z
Cs1 Cs 0.0000 0.0000 0.0000
Cs2 Cs 0.1206 0.5000 0.3878
Tl1 Tl 0.1406 0.0000 0.7205
Tl2 Tl 0.1675 0.5000 0.9905
As1 As 0.2370 0.0000 0.2218
# Calculated total energy = -2.5738 eV per atom
# Total magnetic moment = 0.00 μB/atom
# E_form = -204 meV per atom

***

# Cs3Tl3As2, optimized geometry, DFT PBE
data_Cs3Tl3As2
_chemical_formula_sum 'Cs12 Tl12 As8'
_symmetry_space_group_name_H-M 'P n m a'
_symmetry_Int_Tables_number 62
_cell_length_a 10.1765
_cell_length_b 17.7269
_cell_length_c 7.5333
_cell_angle_alpha 90.00
_cell_angle_beta 90.00
_cell_angle_gamma 90.00
loop_
_symmetry_equiv_pos_as_xyz
'x,y,z'
'-x,-y,-z'
'-x+1/2,-y,z+1/2'
'x+1/2,y,-z+1/2'
'x+1/2,-y+1/2,-z+1/2'
'-x+1/2,y+1/2,z+1/2'
'-x,y+1/2,-z'
'x,-y+1/2,z'
loop_
_atom_site_label
_atom_site_type_symbol
_atom_site_fract_x
_atom_site_fract_y
_atom_site_fract_z
Cs1 Cs 0.0540 0.1079 0.0539
Cs2 Cs 0.2231 0.2500 0.6286
Tl1 Tl 0.1175 0.7500 0.6388
Tl2 Tl 0.1669 0.0317 0.5145
As1 As 0.0713 0.6189 0.4269
# Calculated total energy = -2.6017 eV per atom
# Total magnetic moment = 0.00 μB/atom
# E_form = -232 meV per atom
# Relative energy among the computed polymorphs = 37.5 meV/atom

***

# Cs2TlAs, optimized geometry, DFT PBE
data_Cs2TlAs
_chemical_formula_sum 'Cs8 Tl4 As4'
_symmetry_space_group_name_H-M 'I -4 2 d'
_symmetry_Int_Tables_number 122
_symmetry_space_group_name_Hall 'I -4 2bw'
_cell_length_a 5.4580
_cell_length_b 5.4580
_cell_length_c 24.2586
_cell_angle_alpha 90.00
_cell_angle_beta 90.00
_cell_angle_gamma 90.00
loop_
_atom_site_label
_atom_site_type_symbol
_atom_site_fract_x
_atom_site_fract_y
_atom_site_fract_z
Cs1 Cs 0.2446 0.2500 0.1250
Tl1 Tl 0.0000 0.0000 0.5000
As1 As 0.0000 0.0000 0.0000
# Calculated total energy = -1.9738 eV per atom
# Total magnetic moment = 0.00 μB/atom
# E_form = 207 meV per atom
# Relative energy among the computed polymorphs = 506.1 meV/atom

***

# CsTl3As, optimized geometry, DFT PBE
data_CsTl3As
_chemical_formula_sum 'Cs4 Tl12 As4'
_symmetry_space_group_name_H-M 'P 1 21/c 1'
_symmetry_Int_Tables_number 14
_cell_length_a 9.9950
_cell_length_b 7.1071
_cell_length_c 13.0652
_cell_angle_alpha 90.00
_cell_angle_beta 128.53
_cell_angle_gamma 90.00
loop_
_symmetry_equiv_pos_as_xyz
'x,y,z'
'-x,-y,-z'
'-x,y+1/2,-z+1/2'
'x,-y+1/2,z+1/2'
loop_
_atom_site_label
_atom_site_type_symbol
_atom_site_fract_x
_atom_site_fract_y
_atom_site_fract_z
Cs1 Cs 0.2369 0.1691 0.2038
Tl1 Tl 0.0050 0.6593 0.1442
Tl2 Tl 0.2652 0.6526 0.0603
Tl3 Tl 0.4712 0.7161 0.4083
As1 As 0.1975 0.5158 0.4088
# Calculated total energy = -2.6701 eV per atom
# Total magnetic moment = 0.00 μB/atom
# E_form = -150 meV per atom
# Relative energy among the computed polymorphs = 0.0 meV/atom

***

# CsTlAs3, optimized geometry, DFT PBE
data_CsTlAs3
_chemical_formula_sum 'Cs1 Tl1 As3'
_symmetry_space_group_name_H-M 'P m -3 m'
_symmetry_Int_Tables_number 221
_symmetry_space_group_name_Hall '-P 4 2 3'
_cell_length_a 5.5400
_cell_length_b 5.5400
_cell_length_c 5.5400
_cell_angle_alpha 90.00
_cell_angle_beta 90.00
_cell_angle_gamma 90.00
loop_
_atom_site_label
_atom_site_type_symbol
_atom_site_fract_x
_atom_site_fract_y
_atom_site_fract_z
Cs1 Cs 0.0000 0.0000 0.0000
Tl1 Tl 0.5000 0.5000 0.5000
As1 As 0.0000 0.5000 0.5000
# Calculated total energy = -2.8715 eV per atom
# Total magnetic moment = 0.00 μB/atom
# E_form = 562 meV per atom

***

# Cs3Tl3As2, optimized geometry, DFT PBE
data_Cs3Tl3As2
_chemical_formula_sum 'Cs12 Tl12 As8'
_symmetry_space_group_name_H-M 'C m c m'
_symmetry_Int_Tables_number 63
_symmetry_space_group_name_Hall '-C 2c 2'
_cell_length_a 5.0233
_cell_length_b 14.3784
_cell_length_c 17.6847
_cell_angle_alpha 90.00
_cell_angle_beta 90.00
_cell_angle_gamma 90.00
loop_
_atom_site_label
_atom_site_type_symbol
_atom_site_fract_x
_atom_site_fract_y
_atom_site_fract_z
Cs1 Cs 0.0000 0.0602 0.1018
Cs2 Cs 0.0000 0.3691 0.2500
Tl1 Tl 0.0000 0.3407 0.0349
Tl2 Tl 0.0000 0.3442 0.7500
As1 As 0.0000 0.2297 0.6144
# Calculated total energy = -2.6392 eV per atom
# Total magnetic moment = 0.00 μB/atom
# E_form = -269 meV per atom
# Relative energy among the computed polymorphs = 0.0 meV/atom

***

# CsTl2As2, optimized geometry, DFT PBE
data_CsTl2As2
_chemical_formula_sum 'Cs2 Tl4 As4'
_symmetry_space_group_name_H-M 'I 4/m m m'
_symmetry_Int_Tables_number 139
_symmetry_space_group_name_Hall '-I 4 2'
_cell_length_a 5.2895
_cell_length_b 5.2895
_cell_length_c 11.2656
_cell_angle_alpha 90.00
_cell_angle_beta 90.00
_cell_angle_gamma 90.00
loop_
_atom_site_label
_atom_site_type_symbol
_atom_site_fract_x
_atom_site_fract_y
_atom_site_fract_z
Cs1 Cs 0.0000 0.0000 0.0000
Tl1 Tl 0.0000 0.0000 0.3636
As1 As 0.0000 0.5000 0.2500
# Calculated total energy = -3.0359 eV per atom
# Total magnetic moment = 0.00 μB/atom
# E_form = -59 meV per atom
# Relative energy among the computed polymorphs = 142.4 meV/atom

***

# Cs2TlAs, optimized geometry, DFT PBE
data_Cs2TlAs
_chemical_formula_sum 'Cs4 Tl2 As2'
_symmetry_space_group_name_H-M 'A m m 2'
_symmetry_Int_Tables_number 38
_cell_length_a 4.5340
_cell_length_b 5.7598
_cell_length_c 14.0597
_cell_angle_alpha 90.00
_cell_angle_beta 90.00
_cell_angle_gamma 90.00
loop_
_symmetry_equiv_pos_as_xyz
'x,y,z'
'-x,-y,z'
'-x,y,z'
'x,-y,z'
'x,y+1/2,z+1/2'
'-x,-y+1/2,z+1/2'
'-x,y+1/2,z+1/2'
'x,-y+1/2,z+1/2'
loop_
_atom_site_label
_atom_site_type_symbol
_atom_site_fract_x
_atom_site_fract_y
_atom_site_fract_z
Cs1 Cs 0.0000 0.0000 0.0000
Cs2 Cs 0.5000 0.0000 0.2991
Tl1 Tl 0.5000 0.0000 0.6016
As1 As 0.0000 0.0000 0.7235
# Calculated total energy = -2.4799 eV per atom
# Total magnetic moment = 0.00 μB/atom
# E_form = -299 meV per atom
# Relative energy among the computed polymorphs = 0.0 meV/atom

***

# Cs5Tl4As2, optimized geometry, DFT PBE
data_Cs5Tl4As2
_chemical_formula_sum 'Cs10 Tl8 As4'
_symmetry_space_group_name_H-M 'C 1 2/m 1'
_symmetry_Int_Tables_number 12
_cell_length_a 13.1289
_cell_length_b 7.6349
_cell_length_c 10.0520
_cell_angle_alpha 90.00
_cell_angle_beta 100.88
_cell_angle_gamma 90.00
loop_
_symmetry_equiv_pos_as_xyz
'x,y,z'
'-x,-y,-z'
'-x,y,-z'
'x,-y,z'
'x+1/2,y+1/2,z'
'-x+1/2,-y+1/2,-z'
'-x+1/2,y+1/2,-z'
'x+1/2,-y+1/2,z'
loop_
_atom_site_label
_atom_site_type_symbol
_atom_site_fract_x
_atom_site_fract_y
_atom_site_fract_z
Cs1 Cs 0.0000 0.0000 0.0000
Cs2 Cs 0.1045 0.2504 0.3761
Tl1 Tl 0.1733 0.5000 0.7606
Tl2 Tl 0.2148 0.5000 0.0668
As1 As 0.1536 0.0000 0.6957
# Calculated total energy = -2.2002 eV per atom
# Total magnetic moment = 0.00 μB/atom
# E_form = -106 meV per atom

***

# CsTl3As, optimized geometry, DFT PBE
data_CsTl3As
_chemical_formula_sum 'Cs1 Tl3 As1'
_symmetry_space_group_name_H-M 'P m -3 m'
_symmetry_Int_Tables_number 221
_symmetry_space_group_name_Hall '-P 4 2 3'
_cell_length_a 6.4402
_cell_length_b 6.4402
_cell_length_c 6.4402
_cell_angle_alpha 90.00
_cell_angle_beta 90.00
_cell_angle_gamma 90.00
loop_
_atom_site_label
_atom_site_type_symbol
_atom_site_fract_x
_atom_site_fract_y
_atom_site_fract_z
Cs1 Cs 0.0000 0.0000 0.0000
Tl1 Tl 0.0000 0.0000 0.5000
As1 As 0.5000 0.5000 0.5000
# Calculated total energy = -1.4468 eV per atom
# Total magnetic moment = 0.00 μB/atom
# E_form = 1074 meV per atom
# Relative energy among the computed polymorphs = 1223.4 meV/atom

***

# Cs3TlAs2, optimized geometry, DFT PBE
data_Cs3TlAs2
_chemical_formula_sum 'Cs12 Tl4 As8'
_symmetry_space_group_name_H-M 'I b a m'
_symmetry_Int_Tables_number 72
_symmetry_space_group_name_Hall '-I 2 2c'
_cell_length_a 8.6449
_cell_length_b 16.0269
_cell_length_c 7.5307
_cell_angle_alpha 90.00
_cell_angle_beta 90.00
_cell_angle_gamma 90.00
loop_
_atom_site_label
_atom_site_type_symbol
_atom_site_fract_x
_atom_site_fract_y
_atom_site_fract_z
Cs1 Cs 0.0000 0.0000 0.2500
Cs2 Cs 0.2007 0.3224 0.0000
Tl1 Tl 0.0000 0.5000 0.2500
As1 As 0.1815 0.4071 0.5000
# Calculated total energy = -2.7021 eV per atom
# Total magnetic moment = 0.00 μB/atom
# E_form = -331 meV per atom
# Relative energy among the computed polymorphs = 0.0 meV/atom